[1]
# Ac2CeAl4Au3

An optimized crystal structure of Ac2CeAl4Au3 (PBE-GGA, the Alexandria database).

The structure belongs to space group P-4m2 (No. 115); the cell edges are 4.548, 4.548 and 11.589 Å and the angles 90.00°, 90.00° and 90.00°. The inequivalent atoms are Ac at (0.000, 0.500, 0.238), Ce at (0.000, 0.000, 0.500), Al at (0.000, 0.000, 0.000), Al at (0.000, 0.500, 0.664), Al at (0.500, 0.500, 0.000), Au at (0.000, 0.500, 0.885) and Au at (0.500, 0.500, 0.500).

The calculation puts the energy relative to the elements at -545 meV per atom.

[2]
# Sr2TlI2

An optimized crystal structure of Sr2TlI2 (PBE-GGA, the Alexandria database).

The structure belongs to space group P4/mbm (No. 127); the cell edges are 9.638, 9.638 and 4.062 Å and the angles 90.00°, 90.00° and 90.00°. The inequivalent atoms are Sr at (0.172, 0.328, 0.000), Tl at (0.000, 0.000, 0.500) and I at (0.132, 0.632, 0.500).

As for the relative energy among the computed polymorphs: 0.026 eV/atom.

[3]
# Os3Cl5

An optimized crystal structure of Os3Cl5 (PBE-GGA, the Alexandria database).

The structure belongs to space group Cmmm (No. 65); the cell edges are 8.543, 12.172 and 2.874 Å and the angles 90.00°, 90.00° and 90.00°. The inequivalent atoms are Os at (0.000, 0.000, 0.000), Os at (0.000, 0.190, 0.500), Cl at (0.000, 0.500, 0.000), Cl at (0.222, 0.000, 0.500) and Cl at (0.250, 0.250, 0.000).

The total energy comes out at -4.545 eV/atom.

[4]
# MgTe

An optimized crystal structure of MgTe (PBE-GGA, the Alexandria database).

The structure belongs to space group Pmmn (No. 59, origin choice 2); the cell edges are 4.582, 14.122 and 6.892 Å and the angles 90.00°, 90.00° and 90.00°. The inequivalent atoms are Mg at (0.250, 0.100, 0.070), Mg at (0.250, 0.750, 0.428), Te at (0.250, 0.250, 0.338) and Te at (0.250, 0.596, 0.170).

The total energy comes out at -3.189 eV/atom.

[5]
# K3U3Te8Au

An optimized crystal structure of K3U3Te8Au (PBE-GGA, the Alexandria database).

The structure belongs to space group C2/m (No. 12); the cell edges are 14.623, 9.345 and 9.365 Å and the angles 90.00°, 118.15° and 90.00°. The inequivalent atoms are K at (0.000, 0.000, 0.000), K at (0.250, 0.250, 0.000), U at (0.000, 0.500, 0.500), U at (0.250, 0.250, 0.500), Te at (0.023, 0.283, 0.278), Te at (0.208, 0.000, 0.684), Te at (0.238, 0.500, 0.712) and Au at (0.000, 0.000, 0.500).

The total energy comes out at -5.069 eV/atom.

[6]
# CoSbRu

An optimized crystal structure of CoSbRu (PBE-GGA, the Alexandria database).

The structure belongs to space group P4/nmm (No. 129, origin choice 2); the cell edges are 3.864, 3.864 and 6.304 Å and the angles 90.00°, 90.00° and 90.00°. The inequivalent atoms are Co at (0.250, 0.750, 0.000), Sb at (0.250, 0.250, 0.264) and Ru at (0.250, 0.250, 0.675).

As for the relative energy among the computed polymorphs: 0.000 eV/atom.

[7]
# MgTaOs3

An optimized crystal structure of MgTaOs3 (PBE-GGA, the Alexandria database).

The structure belongs to space group Pm-3m (No. 221); the cell edges are 4.773, 4.773 and 4.773 Å and the angles 90.00°, 90.00° and 90.00°. The inequivalent atoms are Mg at (0.000, 0.000, 0.000), Ta at (0.500, 0.500, 0.500) and Os at (0.000, 0.500, 0.500).

As for the relative energy among the computed polymorphs: 0.080 eV/atom. The calculation puts the energy relative to the elements at 1840 meV per atom.

[8]
# As2OsW

An optimized crystal structure of As2OsW (PBE-GGA, the Alexandria database).

The structure belongs to space group R-3m (No. 166, hexagonal axes); the cell edges are 2.9879, 2.9879 and 24.0854 Å and the angles 90.00°, 90.00° and 120.00°. The inequivalent atoms are As at (0.0000, 0.0000, 0.2476), Os at (0.0000, 0.0000, 0.5000) and W at (0.0000, 0.0000, 0.0000).

As for the relative energy among the computed polymorphs: 0.347 eV/atom. The calculation puts the energy relative to the elements at 425 meV per atom.

[9]
# RbF2

An optimized crystal structure of RbF2 (PBE-GGA, the Alexandria database).

The structure belongs to space group Fd-3m (No. 227, origin choice 2); the cell edges are 7.468, 7.468 and 7.468 Å and the angles 90.00°, 90.00° and 90.00°. The inequivalent atoms are Rb at (0.125, 0.125, 0.125) and F at (0.000, 0.000, 0.500).

The total energy comes out at -3.135 eV/atom.

[10]
# Rb2SrWI6

An optimized crystal structure of Rb2SrWI6 (PBE-GGA, the Alexandria database).

The structure belongs to space group Fm-3m (No. 225); the cell edges are 12.019, 12.019 and 12.019 Å and the angles 90.00°, 90.00° and 90.00°. The inequivalent atoms are Rb at (0.250, 0.250, 0.250), Sr at (0.000, 0.000, 0.000), W at (0.000, 0.000, 0.500) and I at (0.000, 0.000, 0.267).

The total energy comes out at -3.377 eV/atom.

[11]
# ErMoC2

An optimized crystal structure of ErMoC2 (PBE-GGA, the Alexandria database).

The structure belongs to space group R3m (No. 160, hexagonal axes); the cell edges are 3.1760, 3.1760 and 17.2651 Å and the angles 90.00°, 90.00° and 120.00°. The inequivalent atoms are Er at (0.0000, 0.0000, 0.0000), Mo at (0.0000, 0.0000, 0.1759), C at (0.0000, 0.0000, 0.5766) and C at (0.0000, 0.0000, 0.7674).

As for the relative energy among the computed polymorphs: 0.296 eV/atom. The calculation puts the energy relative to the elements at 17 meV per atom.

[12]
# Li2CaHg10

An optimized crystal structure of Li2CaHg10 (PBE-GGA, the Alexandria database).

The structure belongs to space group Fmmm (No. 69); the cell edges are 6.379, 13.131 and 15.209 Å and the angles 90.00°, 90.00° and 90.00°. The inequivalent atoms are Li at (0.250, 0.000, 0.250), Ca at (0.000, 0.000, 0.000), Hg at (0.000, 0.112, 0.376), Hg at (0.000, 0.152, 0.170) and Hg at (0.250, 0.250, 0.000).

The calculation puts the energy relative to the elements at -186 meV per atom.

[13]
# LaFe3Pd

An optimized crystal structure of LaFe3Pd (PBE-GGA, the Alexandria database).

The structure belongs to space group Pm-3m (No. 221); the cell edges are 4.500, 4.500 and 4.500 Å and the angles 90.00°, 90.00° and 90.00°. The inequivalent atoms are La at (0.000, 0.000, 0.000), Fe at (0.000, 0.000, 0.500) and Pd at (0.500, 0.500, 0.500).

As for the relative energy among the computed polymorphs: 0.967 eV/atom. The calculation puts the energy relative to the elements at 1604 meV per atom.

[14]
# Ta4PtSe

An optimized crystal structure of Ta4PtSe (PBE-GGA, the Alexandria database).

The structure belongs to space group F-43m (No. 216); the cell edges are 7.686, 7.686 and 7.686 Å and the angles 90.00°, 90.00° and 90.00°. The inequivalent atoms are Ta at (0.125, 0.125, 0.125), Pt at (0.250, 0.250, 0.750) and Se at (0.000, 0.000, 0.500).

The total energy comes out at -9.014 eV/atom.

[15]
# NaMgGaGe

An optimized crystal structure of NaMgGaGe (PBE-GGA, the Alexandria database).

The structure belongs to space group F-43m (No. 216); the cell edges are 6.897, 6.897 and 6.897 Å and the angles 90.00°, 90.00° and 90.00°. The inequivalent atoms are Na at (0.000, 0.000, 0.000), Mg at (0.000, 0.000, 0.500), Ga at (0.250, 0.250, 0.750) and Ge at (0.250, 0.250, 0.250).

The calculation puts the energy relative to the elements at -61 meV per atom.

[16]
# TcPtW2

An optimized crystal structure of TcPtW2 (PBE-GGA, the Alexandria database).

The structure belongs to space group I-4m2 (No. 119); the cell edges are 3.955, 3.955 and 7.940 Å and the angles 90.00°, 90.00° and 90.00°. The inequivalent atoms are Tc at (0.000, 0.000, 0.000), Pt at (0.000, 0.500, 0.750), W at (0.000, 0.000, 0.500) and W at (0.000, 0.500, 0.250).

As for the relative energy among the computed polymorphs: 0.098 eV/atom. The calculation puts the energy relative to the elements at -35 meV per atom.

[17]
# Dy2Pu2Ru3

An optimized crystal structure of Dy2Pu2Ru3 (PBE-GGA, the Alexandria database).

The structure belongs to space group R-3m (No. 166, hexagonal axes); the cell edges are 4.4692, 4.4692 and 25.8942 Å and the angles 90.00°, 90.00° and 120.00°. The inequivalent atoms are Dy at (0.0000, 0.0000, 0.1241), Pu at (0.0000, 0.0000, 0.3711), Ru at (0.0000, 0.0000, 0.0000) and Ru at (0.0000, 0.0000, 0.2592).

As for the relative energy among the computed polymorphs: 0.410 eV/atom. The calculation puts the energy relative to the elements at 187 meV per atom.

[18]
# Y8AlAg2

An optimized crystal structure of Y8AlAg2 (PBE-GGA, the Alexandria database).

The structure belongs to space group Immm (No. 71); the cell edges are 4.967, 8.315 and 14.906 Å and the angles 90.00°, 90.00° and 90.00°. The inequivalent atoms are Y at (0.000, 0.000, 0.134), Y at (0.000, 0.221, 0.337), Y at (0.000, 0.313, 0.000), Al at (0.000, 0.500, 0.500) and Ag at (0.000, 0.500, 0.199).

As for the relative energy among the computed polymorphs: 0.000 eV/atom. The calculation puts the energy relative to the elements at -80 meV per atom.

[19]
# BaNd4Pb3O12

An optimized crystal structure of BaNd4Pb3O12 (PBE-GGA, the Alexandria database).

The structure belongs to space group Im-3 (No. 204); the cell edges are 8.855, 8.855 and 8.855 Å and the angles 90.00°, 90.00° and 90.00°. The inequivalent atoms are Ba at (0.000, 0.000, 0.000), Nd at (0.250, 0.250, 0.250), Pb at (0.000, 0.000, 0.500) and O at (0.000, 0.310, 0.171).

The total energy comes out at -6.755 eV/atom.

[20]
# KTl2Te

An optimized crystal structure of KTl2Te (PBE-GGA, the Alexandria database).

The structure belongs to space group Pm (No. 6); the cell edges are 3.407, 5.570 and 7.299 Å and the angles 90.00°, 103.24° and 90.00°. The inequivalent atoms are K at (0.000, 0.000, 0.000), Tl at (0.338, 0.500, 0.678), Tl at (0.737, 0.000, 0.484) and Te at (0.585, 0.500, 0.178).

As for the relative energy among the computed polymorphs: 0.140 eV/atom.

Number 1: DOS at the Fermi energy 1.053 states/eV per atom, calculated volume 23.973 Å³/atom. Number 2: DOS at the Fermi energy 1.096 states/eV per atom, calculated volume 37.728 Å³/atom. Number 3: DOS at the Fermi energy 0.978 states/eV per atom, calculated volume 18.680 Å³/atom. Number 4: DOS at the Fermi energy 0.000 states/eV per atom, calculated volume 37.165 Å³/atom. Number 5: DOS at the Fermi energy 1.124 states/eV per atom, calculated volume 37.611 Å³/atom. Number 6: DOS at the Fermi energy 0.955 states/eV per atom, calculated volume 15.683 Å³/atom. Number 7: DOS at the Fermi energy 1.323 states/eV per atom, calculated volume 21.750 Å³/atom. Number 8: DOS at the Fermi energy 1.022 states/eV per atom, calculated volume 15.518 Å³/atom. Number 9: DOS at the Fermi energy 0.257 states/eV per atom, calculated volume 17.357 Å³/atom. Number 10: DOS at the Fermi energy 0.590 states/eV per atom, calculated volume 43.409 Å³/atom. Number 11: DOS at the Fermi energy 0.519 states/eV per atom, calculated volume 12.569 Å³/atom. Number 12: DOS at the Fermi energy 0.326 states/eV per atom, calculated volume 24.498 Å³/atom. Number 13: DOS at the Fermi energy 1.252 states/eV per atom, calculated volume 18.227 Å³/atom. Number 14: DOS at the Fermi energy 1.305 states/eV per atom, calculated volume 18.918 Å³/atom. Number 15: DOS at the Fermi energy 0.185 states/eV per atom, calculated volume 20.502 Å³/atom. Number 16: DOS at the Fermi energy 0.941 states/eV per atom, calculated volume 15.524 Å³/atom. Number 17: DOS at the Fermi energy 2.492 states/eV per atom, calculated volume 21.329 Å³/atom. Number 18: DOS at the Fermi energy 1.385 states/eV per atom, calculated volume 27.983 Å³/atom. Number 19: DOS at the Fermi energy 0.466 states/eV per atom, calculated volume 17.360 Å³/atom. Number 20: DOS at the Fermi energy 0.332 states/eV per atom, calculated volume 33.703 Å³/atom.